First-principles (PBE) data for a relaxed CaSb2Te crystal, as listed in Alexandria via LeMat-Bulk.

Magnetization in μB/f.u.: 0.0
Electronic total energy in eV per atom: -3.77
Formation energy (no corrections) in eV/atom: -0.4192

abc: 4.886 4.430 6.254
angles: 90.00 110.41 90.00
Fractional positions:
Ca  0.000  0.000  0.000
Sb  0.299  0.500  0.768
Sb  0.701  0.500  0.232
Te  0.500  0.000  0.500

First-principles (PBE) data for a relaxed Ca3Sb5Te12 crystal, as listed in Alexandria via LeMat-Bulk.

Magnetization in μB/f.u.: 0.0
Electronic total energy in eV per atom: -3.63
Formation energy (no corrections) in eV/atom: -0.4096

abc: 15.785 15.785 15.785
angles: 109.47 109.47 109.47
Fractional positions:
Ca  0.125  0.250  0.375
Ca  0.125  0.375  0.750
Ca  0.250  0.375  0.125
Ca  0.250  0.875  0.625
Ca  0.375  0.125  0.250
Ca  0.375  0.750  0.125
Ca  0.625  0.250  0.875
Ca  0.625  0.875  0.750
Ca  0.750  0.125  0.375
Ca  0.750  0.625  0.875
Ca  0.875  0.625  0.250
Ca  0.875  0.750  0.625
Sb  0.000  0.000  0.000
Sb  0.000  0.000  0.500
Sb  0.000  0.500  0.000
Sb  0.000  0.500  0.500
Sb  0.125  0.750  0.875
Sb  0.125  0.875  0.250
Sb  0.250  0.125  0.875
Sb  0.250  0.625  0.375
Sb  0.375  0.250  0.625
Sb  0.375  0.625  0.750
Sb  0.500  0.000  0.000
Sb  0.500  0.000  0.500
Sb  0.500  0.500  0.000
Sb  0.500  0.500  0.500
Sb  0.625  0.375  0.250
Sb  0.625  0.750  0.375
Sb  0.750  0.375  0.625
Sb  0.750  0.875  0.125
Sb  0.875  0.125  0.750
Sb  0.875  0.250  0.125
Te  0.049  0.218  0.136
Te  0.049  0.331  0.913
Te  0.083  0.718  0.669
Te  0.083  0.864  0.413
Te  0.087  0.636  0.417
Te  0.087  0.951  0.669
Te  0.136  0.049  0.218
Te  0.136  0.587  0.917
Te  0.169  0.218  0.583
Te  0.169  0.451  0.587
Te  0.218  0.136  0.049
Te  0.218  0.583  0.169
Te  0.282  0.331  0.917
Te  0.282  0.451  0.364
Te  0.331  0.913  0.049
Te  0.331  0.917  0.282
Te  0.364  0.282  0.451
Te  0.364  0.583  0.913
Te  0.413  0.083  0.864
Te  0.413  0.831  0.549
Te  0.417  0.087  0.636
Te  0.417  0.831  0.782
Te  0.451  0.364  0.282
Te  0.451  0.587  0.169
Te  0.549  0.413  0.831
Te  0.549  0.636  0.718
Te  0.583  0.169  0.218
Te  0.583  0.913  0.364
Te  0.587  0.169  0.451
Te  0.587  0.917  0.136
Te  0.636  0.417  0.087
Te  0.636  0.718  0.549
Te  0.669  0.083  0.718
Te  0.669  0.087  0.951
Te  0.718  0.549  0.636
Te  0.718  0.669  0.083
Te  0.782  0.417  0.831
Te  0.782  0.864  0.951
Te  0.831  0.549  0.413
Te  0.831  0.782  0.417
Te  0.864  0.413  0.083
Te  0.864  0.951  0.782
Te  0.913  0.049  0.331
Te  0.913  0.364  0.583
Te  0.917  0.136  0.587
Te  0.917  0.282  0.331
Te  0.951  0.669  0.087
Te  0.951  0.782  0.864

First-principles (PBE) data for a relaxed CaSbTe2 crystal, as listed in Alexandria via LeMat-Bulk.

Magnetization in μB/f.u.: 0.0
Electronic total energy in eV per atom: -3.49
Formation energy (no corrections) in eV/atom: -0.3913

abc: 4.037 4.037 30.063
angles: 90.00 90.00 120.00
Fractional positions:
Ca  0.000  0.000  0.000
Ca  0.333  0.667  0.667
Ca  0.667  0.333  0.333
Sb  0.000  0.000  0.500
Sb  0.333  0.667  0.167
Sb  0.667  0.333  0.833
Te  0.000  0.000  0.402
Te  0.000  0.000  0.598
Te  0.333  0.667  0.069
Te  0.333  0.667  0.264
Te  0.667  0.333  0.736
Te  0.667  0.333  0.931

First-principles (PBE) data for a relaxed CaSbTe2 crystal, as listed in Alexandria via LeMat-Bulk.

Magnetization in μB/f.u.: 0.0
Electronic total energy in eV per atom: -3.89
Formation energy (no corrections) in eV/atom: -0.7902

abc: 4.522 4.483 6.411
angles: 90.00 90.13 90.00
Fractional positions:
Ca  0.000  0.000  0.000
Sb  0.499  0.500  0.501
Te  0.500  0.500  0.001
Te  0.999  0.000  0.500